No. 1
Crystalline Rb2PmSe2O6 at its relaxed geometry. Source: Alexandria, functional GGA-PBE.

- magnetization (μB per cell) = 0.00
- SG = C2/m
- calculated total energy (eV per atom) = -5.494

Cell lengths 5.837, 5.837, 7.539 Å; angles 108.77, 108.77, 65.80 degrees
Element x y z (fractional)
Rb 0.204 0.204 0.153
Rb 0.796 0.796 0.847
Pm 0.000 0.000 0.500
Se 0.425 0.425 0.764
Se 0.575 0.575 0.236
O 0.241 0.732 0.262
O 0.258 0.258 0.568
O 0.268 0.759 0.738
O 0.732 0.241 0.262
O 0.742 0.742 0.432
O 0.759 0.268 0.738

***

No. 2
Crystalline ErVCo2 at its relaxed geometry. Source: Alexandria, functional GGA-PBE.

- magnetization (μB per cell) = 0.04
- energy relative to the lowest polymorph listed for this composition (meV/atom) = 13
- SG = P4/mmm
- energy relative to the elements (eV/atom) = -0.094
- calculated total energy (eV per atom) = -7.067

Cell lengths 2.953, 2.953, 6.750 Å; angles 90.00, 90.00, 90.00 degrees
Element x y z (fractional)
Er 0.000 0.000 0.000
V 0.000 0.000 0.500
Co 0.500 0.500 0.307
Co 0.500 0.500 0.693

***

No. 3
Crystalline CdInOs2 at its relaxed geometry. Source: Alexandria, functional GGA-PBE.

- magnetization (μB per cell) = 0.88
- SG = Cmmm
- energy relative to the elements (eV/atom) = 0.805
- calculated total energy (eV per atom) = -5.724

Cell lengths 5.044, 5.044, 2.941 Å; angles 90.00, 90.00, 113.05 degrees
Element x y z (fractional)
Cd 0.000 0.000 0.000
In 0.500 0.500 0.000
Os 0.000 0.500 0.500
Os 0.500 0.000 0.500

***

No. 4
Crystalline CsSb2As2S6 at its relaxed geometry. Source: Alexandria, functional GGA-PBE.

- magnetization (μB per cell) = 0.00
- SG = P-1
- calculated total energy (eV per atom) = -4.139

Cell lengths 7.735, 7.819, 8.664 Å; angles 65.38, 63.63, 60.36 degrees
Element x y z (fractional)
Cs 0.000 0.000 0.000
Sb 0.334 0.387 0.946
Sb 0.666 0.613 0.054
As 0.392 0.676 0.536
As 0.608 0.324 0.464
S 0.096 0.602 0.750
S 0.452 0.394 0.251
S 0.452 0.890 0.203
S 0.548 0.110 0.797
S 0.548 0.606 0.749
S 0.904 0.398 0.250

***

No. 5
Crystalline SmTm2Ir2 at its relaxed geometry. Source: Alexandria, functional GGA-PBE.

- magnetization (μB per cell) = 0.00
- SG = P-3m1
- energy relative to the elements (eV/atom) = -0.770
- calculated total energy (eV per atom) = -7.047

Cell lengths 4.789, 4.789, 5.963 Å; angles 90.00, 90.00, 120.00 degrees
Element x y z (fractional)
Sm 0.000 0.000 0.000
Tm 0.333 0.667 0.339
Tm 0.667 0.333 0.661
Ir 0.333 0.667 0.822
Ir 0.667 0.333 0.178

***

No. 6
Crystalline TbTh2Al at its relaxed geometry. Source: Alexandria, functional GGA-PBE.

- magnetization (μB per cell) = 0.00
- energy relative to the lowest polymorph listed for this composition (meV/atom) = 87
- SG = P4/mmm
- energy relative to the elements (eV/atom) = -0.044
- calculated total energy (eV per atom) = -5.847

Cell lengths 3.463, 3.463, 9.681 Å; angles 90.00, 90.00, 90.00 degrees
Element x y z (fractional)
Tb 0.000 0.000 0.000
Th 0.500 0.500 0.281
Th 0.500 0.500 0.719
Al 0.000 0.000 0.500

***

No. 7
Crystalline Pr2MnGa3Pd4 at its relaxed geometry. Source: Alexandria, functional GGA-PBE.

- magnetization (μB per cell) = 3.75
- SG = P-4m2
- energy relative to the elements (eV/atom) = -0.682
- calculated total energy (eV per atom) = -5.540

Cell lengths 4.289, 4.289, 10.649 Å; angles 90.00, 90.00, 90.00 degrees
Element x y z (fractional)
Pr 0.000 0.500 0.247
Pr 0.500 0.000 0.753
Mn 0.000 0.000 0.500
Ga 0.000 0.500 0.872
Ga 0.500 0.000 0.128
Ga 0.500 0.500 0.500
Pd 0.000 0.000 0.000
Pd 0.000 0.500 0.637
Pd 0.500 0.000 0.363
Pd 0.500 0.500 0.000

***

No. 8
Crystalline Ti3FeS at its relaxed geometry. Source: Alexandria, functional GGA-PBE.

- magnetization (μB per cell) = 0.00
- energy relative to the lowest polymorph listed for this composition (meV/atom) = 0
- SG = Pm-3m
- calculated total energy (eV per atom) = -7.246

Cell lengths 4.400, 4.400, 4.400 Å; angles 90.00, 90.00, 90.00 degrees
Element x y z (fractional)
Ti 0.000 0.000 0.500
Ti 0.000 0.500 0.000
Ti 0.500 0.000 0.000
Fe 0.500 0.500 0.500
S 0.000 0.000 0.000

***

No. 9
Crystalline Ba8Tl2Au at its relaxed geometry. Source: Alexandria, functional GGA-PBE.

- magnetization (μB per cell) = 0.00
- SG = C2/m
- energy relative to the elements (eV/atom) = -0.290
- calculated total energy (eV per atom) = -2.417

Cell lengths 11.097, 11.097, 8.225 Å; angles 106.11, 106.11, 31.46 degrees
Element x y z (fractional)
Ba 0.030 0.030 0.298
Ba 0.209 0.209 0.803
Ba 0.342 0.342 0.539
Ba 0.405 0.405 0.075
Ba 0.595 0.595 0.925
Ba 0.658 0.658 0.461
Ba 0.791 0.791 0.197
Ba 0.970 0.970 0.702
Tl 0.185 0.185 0.211
Tl 0.815 0.815 0.789
Au 0.500 0.500 0.500

***

No. 10
Crystalline LiTbThIn at its relaxed geometry. Source: Alexandria, functional GGA-PBE.

- magnetization (μB per cell) = 0.00
- SG = F-43m
- energy relative to the elements (eV/atom) = -0.125
- calculated total energy (eV per atom) = -4.300

Cell lengths 5.344, 5.344, 5.344 Å; angles 60.00, 60.00, 60.00 degrees
Element x y z (fractional)
Li 0.000 0.000 0.000
Tb 0.750 0.750 0.750
Th 0.250 0.250 0.250
In 0.500 0.500 0.500

***

No. 11
Crystalline ScBiRu2 at its relaxed geometry. Source: Alexandria, functional GGA-PBE.

- magnetization (μB per cell) = 0.00
- SG = P4/mmm
- energy relative to the elements (eV/atom) = -0.218
- calculated total energy (eV per atom) = -7.409

Cell lengths 4.544, 4.544, 3.380 Å; angles 90.00, 90.00, 90.00 degrees
Element x y z (fractional)
Sc 0.000 0.000 0.000
Bi 0.500 0.500 0.000
Ru 0.000 0.500 0.500
Ru 0.500 0.000 0.500

***

No. 12
Crystalline Sr3Sm2HoSe6 at its relaxed geometry. Source: Alexandria, functional GGA-PBE.

- magnetization (μB per cell) = 0.00
- SG = C2/m
- calculated total energy (eV per atom) = -5.227

Cell lengths 7.338, 7.338, 7.502 Å; angles 99.41, 99.41, 119.94 degrees
Element x y z (fractional)
Sr 0.000 0.000 0.000
Sr 0.331 0.669 0.000
Sr 0.669 0.331 0.000
Sm 0.166 0.834 0.500
Sm 0.834 0.166 0.500
Ho 0.500 0.500 0.500
Se 0.095 0.422 0.266
Se 0.252 0.252 0.735
Se 0.422 0.095 0.266
Se 0.578 0.905 0.734
Se 0.748 0.748 0.265
Se 0.905 0.578 0.734

***

No. 13
Crystalline CeSc2TcO8 at its relaxed geometry. Source: Alexandria, functional GGA-PBE.

- magnetization (μB per cell) = 1.01
- SG = Cmmm
- calculated total energy (eV per atom) = -8.406

Cell lengths 4.847, 4.847, 6.588 Å; angles 90.00, 90.00, 90.44 degrees
Element x y z (fractional)
Ce 0.000 0.000 0.000
Sc 0.500 0.500 0.251
Sc 0.500 0.500 0.749
Tc 0.000 0.000 0.500
O 0.195 0.805 0.284
O 0.195 0.805 0.716
O 0.280 0.280 0.500
O 0.315 0.315 0.000
O 0.685 0.685 0.000
O 0.720 0.720 0.500
O 0.805 0.195 0.284
O 0.805 0.195 0.716

***

No. 14
Crystalline Ba2Si2Bi at its relaxed geometry. Source: Alexandria, functional GGA-PBE.

- magnetization (μB per cell) = 0.00
- SG = P4/mbm
- calculated total energy (eV per atom) = -4.122

Cell lengths 8.061, 8.061, 4.951 Å; angles 90.00, 90.00, 90.00 degrees
Element x y z (fractional)
Ba 0.183 0.317 0.000
Ba 0.317 0.817 0.000
Ba 0.683 0.183 0.000
Ba 0.817 0.683 0.000
Si 0.104 0.604 0.500
Si 0.396 0.104 0.500
Si 0.604 0.896 0.500
Si 0.896 0.396 0.500
Bi 0.000 0.000 0.500
Bi 0.500 0.500 0.500

***

No. 15
Crystalline LaPrZnNi at its relaxed geometry. Source: Alexandria, functional GGA-PBE.

- magnetization (μB per cell) = 0.00
- energy relative to the lowest polymorph listed for this composition (meV/atom) = 0
- SG = Amm2
- energy relative to the elements (eV/atom) = -0.277
- calculated total energy (eV per atom) = -4.468

Cell lengths 4.485, 6.033, 6.033 Å; angles 37.95, 90.00, 90.00 degrees
Element x y z (fractional)
La 0.000 0.000 0.000
Pr 0.500 0.275 0.275
Zn 0.000 0.708 0.708
Ni 0.500 0.585 0.585

***

No. 16
Crystalline ThCdAg at its relaxed geometry. Source: Alexandria, functional GGA-PBE.

- magnetization (μB per cell) = 0.00
- SG = P-6m2
- energy relative to the elements (eV/atom) = -0.174
- calculated total energy (eV per atom) = -3.903

Cell lengths 5.016, 5.016, 3.361 Å; angles 90.00, 90.00, 120.00 degrees
Element x y z (fractional)
Th 0.000 0.000 0.000
Cd 0.333 0.667 0.500
Ag 0.667 0.333 0.500

***

No. 17
Crystalline ZrSbAs2 at its relaxed geometry. Source: Alexandria, functional GGA-PBE.

- magnetization (μB per cell) = 0.00
- SG = Pm
- calculated total energy (eV per atom) = -5.856

Cell lengths 4.051, 3.951, 5.713 Å; angles 90.00, 90.53, 90.00 degrees
Element x y z (fractional)
Zr 0.000 0.000 0.000
Sb 0.367 0.500 0.583
As 0.507 0.500 0.050
As 0.926 0.000 0.499